1.
Compound: CeSmZn4
Source: Alexandria via LeMat-Bulk
Functional: PBE-GGA
Structure: relaxed

Cell lengths 5.516, 5.516, 5.516 Å; angles 60.00, 60.00, 60.00 degrees
Element x y z (fractional)
Zn: 0.625 0.625 0.625
Zn: 0.625 0.625 0.124
Zn: 0.625 0.124 0.625
Zn: 0.124 0.625 0.625
Ce: 0.250 0.250 0.250
Sm: 0.000 0.000 0.000

Properties
Relative energy among the computed polymorphs   14.0 meV per atom
Energy   -2.928 eV per atom
Energy of formation   -0.30 eV/atom
SG   F-43m, No. 216
Volume   19.8 Å³/atom



2.
Compound: CaNiMo2
Source: Alexandria via LeMat-Bulk
Functional: PBE-GGA
Structure: relaxed

Cell lengths 9.863, 9.863, 9.863 Å; angles 16.49, 16.49, 16.49 degrees
Element x y z (fractional)
Ca: 0.750 0.750 0.750
Mo: 0.988 0.988 0.988
Mo: 0.512 0.512 0.512
Ni: 0.250 0.250 0.250

Properties
Relative energy among the computed polymorphs   399.3 meV per atom
Energy   -6.638 eV per atom
Energy of formation   0.72 eV/atom
SG   R-3m, No. 166
Volume   16.9 Å³/atom



3.
Compound: ThAgPb
Source: Alexandria via LeMat-Bulk
Functional: PBE-GGA
Structure: relaxed

Cell lengths 4.650, 4.650, 7.487 Å; angles 90.00, 90.09, 90.00 degrees
Element x y z (fractional)
Th: 0.749 0.750 0.185
Th: 0.251 0.250 0.815
Ag: 0.251 0.750 0.500
Ag: 0.749 0.250 0.500
Pb: 0.249 0.250 0.246
Pb: 0.751 0.750 0.754

Properties
Energy   -4.848 eV per atom
Energy of formation   -0.19 eV/atom
SG   P2_1/m, No. 11
Volume   27.0 Å³/atom



Number 1: DOS at the Fermi energy 0.74 states/eV per atom, total moment 0.4 μB per formula unit, ρ 7.7 Mg/m³. Number 2: DOS at the Fermi energy 1.28 states/eV per atom, total moment 0.0 μB per formula unit, ρ 7.2 Mg/m³. Number 3: DOS at the Fermi energy 0.67 states/eV per atom, total moment 0.0 μB per formula unit, ρ 11.2 Mg/m³.